(1)
First-principles (PBE) data for a relaxed ZrHg3S2Cl6 crystal, as listed in Alexandria.

Results
The calculation puts the theoretical density at 4.51 g/cm³. The total energy comes out at -3.393 eV/atom.

```
data_ZrHg3S2Cl6
_cell_length_a 7.6283
_cell_length_b 7.6283
_cell_length_c 7.0780
_cell_angle_alpha 90.00
_cell_angle_beta 90.00
_cell_angle_gamma 120.00
_symmetry_space_group_name_H-M 'P -3 m 1'
_symmetry_Int_Tables_number 164
_symmetry_space_group_name_Hall '-P 3 2"'
loop_
_atom_site_label
_atom_site_fract_x
_atom_site_fract_y
_atom_site_fract_z
_atom_site_occupancy
Zr1 0.0000 0.0000 0.0000 1
Hg1 0.0000 0.5000 0.5000 1
S1 0.3333 0.6667 0.3511 1
Cl1 0.1550 0.3101 0.7992 1
```

(2)
First-principles (PBE) data for a relaxed HgSbCl crystal, as listed in Alexandria.

Results
The calculation puts the theoretical density at 6.57 g/cm³. As for the polymorph energy (0 for the lowest one): 0.2558 eV per atom. The total energy comes out at -2.164 eV/atom.

```
data_HgSbCl
_cell_length_a 3.148
_cell_length_b 6.283
_cell_length_c 9.146
_cell_angle_alpha 90.00
_cell_angle_beta 90.00
_cell_angle_gamma 90.00
_symmetry_space_group_name_H-M 'I m m 2'
_symmetry_Int_Tables_number 44
loop_
_symmetry_equiv_pos_as_xyz
'x,y,z'
'-x,-y,z'
'-x,y,z'
'x,-y,z'
'x+1/2,y+1/2,z+1/2'
'-x+1/2,-y+1/2,z+1/2'
'-x+1/2,y+1/2,z+1/2'
'x+1/2,-y+1/2,z+1/2'
loop_
_atom_site_label
_atom_site_fract_x
_atom_site_fract_y
_atom_site_fract_z
_atom_site_occupancy
Hg1 0.000 0.000 0.000 1
Sb1 0.000 0.000 0.630 1
Cl1 0.000 0.000 0.365 1
```

(3)
First-principles (PBE) data for a relaxed Hg2SbCl crystal, as listed in Alexandria.

Results
The calculation puts the theoretical density at 9.30 g/cm³. As for the polymorph energy (0 for the lowest one): 0.3583 eV per atom. The total energy comes out at -1.541 eV/atom.

```
data_Hg2SbCl
_cell_length_a 7.360
_cell_length_b 7.360
_cell_length_c 7.360
_cell_angle_alpha 90.00
_cell_angle_beta 90.00
_cell_angle_gamma 90.00
_symmetry_space_group_name_H-M 'F -4 3 m'
_symmetry_Int_Tables_number 216
_symmetry_space_group_name_Hall 'F -4 2 3'
loop_
_atom_site_label
_atom_site_fract_x
_atom_site_fract_y
_atom_site_fract_z
_atom_site_occupancy
Hg1 0.000 0.000 0.000 1
Hg2 0.250 0.250 0.250 1
Sb1 0.000 0.000 0.500 1
Cl1 0.250 0.250 0.750 1
```

(4)
First-principles (PBE) data for a relaxed Hg2SbCl crystal, as listed in Alexandria.

Results
The calculation puts the theoretical density at 7.07 g/cm³. As for the polymorph energy (0 for the lowest one): 0.0789 eV per atom. The total energy comes out at -1.821 eV/atom.

```
data_Hg2SbCl
_cell_length_a 14.928
_cell_length_b 4.265
_cell_length_c 4.260
_cell_angle_alpha 90.00
_cell_angle_beta 104.78
_cell_angle_gamma 90.00
_symmetry_space_group_name_H-M 'C 1 m 1'
_symmetry_Int_Tables_number 8
loop_
_symmetry_equiv_pos_as_xyz
'x,y,z'
'x,-y,z'
'x+1/2,y+1/2,z'
'x+1/2,-y+1/2,z'
loop_
_atom_site_label
_atom_site_fract_x
_atom_site_fract_y
_atom_site_fract_z
_atom_site_occupancy
Hg1 0.000 0.000 0.000 1
Hg2 0.199 0.500 0.728 1
Sb1 0.492 0.000 0.494 1
Cl1 0.315 0.000 0.310 1
```

(5)
First-principles (PBE) data for a relaxed Hg2SbCl crystal, as listed in Alexandria.

Results
The calculation puts the theoretical density at 8.45 g/cm³. As for the polymorph energy (0 for the lowest one): 0.0945 eV per atom. The total energy comes out at -1.805 eV/atom.

```
data_Hg2SbCl
_cell_length_a 6.106
_cell_length_b 6.105
_cell_length_c 11.776
_cell_angle_alpha 90.00
_cell_angle_beta 90.00
_cell_angle_gamma 90.00
_symmetry_space_group_name_H-M 'P m n a'
_symmetry_Int_Tables_number 53
loop_
_symmetry_equiv_pos_as_xyz
'x,y,z'
'-x,-y,-z'
'-x+1/2,-y,z+1/2'
'x+1/2,y,-z+1/2'
'x,-y,-z'
'-x,y,z'
'-x+1/2,y,-z+1/2'
'x+1/2,-y,z+1/2'
loop_
_atom_site_label
_atom_site_fract_x
_atom_site_fract_y
_atom_site_fract_z
_atom_site_occupancy
Hg1 0.000 0.248 0.125 1
Hg2 0.000 0.251 0.625 1
Sb1 0.000 0.251 0.875 1
Cl1 0.000 0.249 0.375 1
```

(6)
First-principles (PBE) data for a relaxed HgSbCl2 crystal, as listed in Alexandria.

Results
The calculation puts the theoretical density at 5.35 g/cm³. As for the polymorph energy (0 for the lowest one): 0.0545 eV per atom. The total energy comes out at -2.434 eV/atom.

```
data_HgSbCl2
_cell_length_a 3.667
_cell_length_b 8.814
_cell_length_c 7.559
_cell_angle_alpha 90.00
_cell_angle_beta 90.00
_cell_angle_gamma 90.00
_symmetry_space_group_name_H-M 'I m m 2'
_symmetry_Int_Tables_number 44
loop_
_symmetry_equiv_pos_as_xyz
'x,y,z'
'-x,-y,z'
'-x,y,z'
'x,-y,z'
'x+1/2,y+1/2,z+1/2'
'-x+1/2,-y+1/2,z+1/2'
'-x+1/2,y+1/2,z+1/2'
'x+1/2,-y+1/2,z+1/2'
loop_
_atom_site_label
_atom_site_fract_x
_atom_site_fract_y
_atom_site_fract_z
_atom_site_occupancy
Hg1 0.000 0.000 0.000 1
Sb1 0.000 0.500 0.791 1
Cl1 0.000 0.203 0.736 1
```

(7)
First-principles (PBE) data for a relaxed HgSbCl2 crystal, as listed in Alexandria.

Results
The calculation puts the theoretical density at 4.71 g/cm³. As for the polymorph energy (0 for the lowest one): 0.0000 eV per atom. The total energy comes out at -2.488 eV/atom.

```
data_HgSbCl2
_cell_length_a 3.450
_cell_length_b 3.881
_cell_length_c 10.355
_cell_angle_alpha 90.00
_cell_angle_beta 90.66
_cell_angle_gamma 90.00
_symmetry_space_group_name_H-M 'P 1 2/m 1'
_symmetry_Int_Tables_number 10
loop_
_symmetry_equiv_pos_as_xyz
'x,y,z'
'-x,-y,-z'
'-x,y,-z'
'x,-y,z'
loop_
_atom_site_label
_atom_site_fract_x
_atom_site_fract_y
_atom_site_fract_z
_atom_site_occupancy
Hg1 0.000 0.000 0.000 1
Sb1 0.500 0.000 0.500 1
Cl1 0.492 0.500 0.322 1
```

(8)
First-principles (PBE) data for a relaxed Hg4Sb2Cl3 crystal, as listed in Alexandria.

Results
The calculation puts the theoretical density at 5.81 g/cm³. As for the polymorph energy (0 for the lowest one): 0.0000 eV per atom. The total energy comes out at -1.989 eV/atom.

```
data_Hg4Sb2Cl3
_cell_length_a 7.443
_cell_length_b 8.829
_cell_length_c 11.750
_cell_angle_alpha 91.53
_cell_angle_beta 107.27
_cell_angle_gamma 114.88
_symmetry_space_group_name_H-M 'P -1'
_symmetry_Int_Tables_number 2
loop_
_symmetry_equiv_pos_as_xyz
'x,y,z'
'-x,-y,-z'
loop_
_atom_site_label
_atom_site_fract_x
_atom_site_fract_y
_atom_site_fract_z
_atom_site_occupancy
Hg1 0.177 0.144 0.293 1
Hg2 0.283 0.660 0.384 1
Hg3 0.308 0.254 0.731 1
Hg4 0.314 0.546 0.892 1
Sb1 0.092 0.917 0.442 1
Sb2 0.274 0.681 0.149 1
Cl1 0.145 0.313 0.131 1
Cl2 0.340 0.586 0.590 1
Cl3 0.399 0.994 0.169 1
```

(9)
First-principles (PBE) data for a relaxed HgSb2Cl crystal, as listed in Alexandria.

Results
The calculation puts the theoretical density at 6.97 g/cm³. As for the polymorph energy (0 for the lowest one): 0.0887 eV per atom. The total energy comes out at -2.652 eV/atom.

```
data_HgSb2Cl
_cell_length_a 4.531
_cell_length_b 4.531
_cell_length_c 22.258
_cell_angle_alpha 90.00
_cell_angle_beta 90.00
_cell_angle_gamma 90.00
_symmetry_space_group_name_H-M 'I -4 2 d'
_symmetry_Int_Tables_number 122
_symmetry_space_group_name_Hall 'I -4 2bw'
loop_
_atom_site_label
_atom_site_fract_x
_atom_site_fract_y
_atom_site_fract_z
_atom_site_occupancy
Hg1 0.000 0.000 0.000 1
Sb1 0.204 0.250 0.125 1
Cl1 0.000 0.000 0.500 1
```

(10)
First-principles (PBE) data for a relaxed Hg3Sb2Cl2 crystal, as listed in Alexandria.

Results
The calculation puts the theoretical density at 5.62 g/cm³. As for the polymorph energy (0 for the lowest one): 0.0000 eV per atom. The total energy comes out at -2.060 eV/atom.

```
data_Hg3Sb2Cl2
_cell_length_a 5.754
_cell_length_b 8.251
_cell_length_c 12.698
_cell_angle_alpha 90.00
_cell_angle_beta 116.11
_cell_angle_gamma 90.00
_symmetry_space_group_name_H-M 'P 1 21/c 1'
_symmetry_Int_Tables_number 14
loop_
_symmetry_equiv_pos_as_xyz
'x,y,z'
'-x,-y,-z'
'-x,y+1/2,-z+1/2'
'x,-y+1/2,z+1/2'
loop_
_atom_site_label
_atom_site_fract_x
_atom_site_fract_y
_atom_site_fract_z
_atom_site_occupancy
Hg1 0.000 0.000 0.000 1
Hg2 0.494 0.109 0.749 1
Sb1 0.485 0.641 0.099 1
Cl1 0.040 0.136 0.330 1
```

(11)
First-principles (PBE) data for a relaxed HgSbCl2 crystal, as listed in Alexandria.

Results
The calculation puts the theoretical density at 6.69 g/cm³. As for the polymorph energy (0 for the lowest one): 0.4749 eV per atom. The total energy comes out at -2.013 eV/atom.

```
data_HgSbCl2
_cell_length_a 7.310
_cell_length_b 7.310
_cell_length_c 7.310
_cell_angle_alpha 90.00
_cell_angle_beta 90.00
_cell_angle_gamma 90.00
_symmetry_space_group_name_H-M 'F m -3 m'
_symmetry_Int_Tables_number 225
_symmetry_space_group_name_Hall '-F 4 2 3'
loop_
_atom_site_label
_atom_site_fract_x
_atom_site_fract_y
_atom_site_fract_z
_atom_site_occupancy
Hg1 0.000 0.000 0.000 1
Sb1 0.000 0.000 0.500 1
Cl1 0.250 0.250 0.250 1
```

(12)
First-principles (PBE) data for a relaxed HgSb2Cl crystal, as listed in Alexandria.

Results
The calculation puts the theoretical density at 8.09 g/cm³. As for the polymorph energy (0 for the lowest one): 0.2329 eV per atom. The total energy comes out at -2.508 eV/atom.

```
data_HgSb2Cl
_cell_length_a 7.329
_cell_length_b 7.329
_cell_length_c 7.329
_cell_angle_alpha 90.00
_cell_angle_beta 90.00
_cell_angle_gamma 90.00
_symmetry_space_group_name_H-M 'F m -3 m'
_symmetry_Int_Tables_number 225
_symmetry_space_group_name_Hall '-F 4 2 3'
loop_
_atom_site_label
_atom_site_fract_x
_atom_site_fract_y
_atom_site_fract_z
_atom_site_occupancy
Hg1 0.000 0.000 0.000 1
Sb1 0.250 0.250 0.250 1
Cl1 0.000 0.000 0.500 1
```

Raw formation energy readings, ordered: -0.994; -0.074; 0.102; -0.177; -0.162; -0.404; -0.459; -0.323; -0.054; -0.225; 0.016; 0.090 eV/atom